Entry 1:
Material: BC2
Method: DFT, GGA-PBE
State: relaxed

a b c (Å): 6.227 6.227 5.115
angles (deg): 101.54 101.54 23.12
Sites, in units of the cell vectors:
B1 0.930 0.930 0.215
B2 0.920 0.920 0.717
B3 0.243 0.243 0.389
B4 0.326 0.326 0.141
C1 0.657 0.657 0.328
C2 0.665 0.665 0.827
C3 0.013 0.013 0.001
C4 0.587 0.587 0.041
C5 0.327 0.327 0.673
C6 0.583 0.583 0.545
C7 0.239 0.239 0.863
C8 0.010 0.010 0.510

The calculated volume is 76.2 Å³ per cell. As for the density of states at the Fermi level: 2.6 states/eV/cell. As for the theoretical density: 3.035 Mg/m³. For the total energy, the calculation gives -96.087 eV for the cell shown. The spin magnetization is 0.00 μB/f.u.


Entry 2:
Material: LiNbW2
Method: DFT, GGA-PBE
State: relaxed

a b c (Å): 4.481 4.481 4.481
angles (deg): 60.00 60.00 60.00
Sites, in units of the cell vectors:
Li1 0.000 0.000 0.000
W1 0.750 0.750 0.750
W2 0.250 0.250 0.250
Nb1 0.500 0.500 0.500

The calculated volume is 63.6 Å³ per cell. As for the density of states at the Fermi level: 4.9 states/eV/cell. As for the theoretical density: 12.202 Mg/m³. For the total energy, the calculation gives -35.598 eV for the cell shown. The spin magnetization is 0.00 μB/f.u.


Entry 3:
Material: MnPOs4
Method: DFT, GGA-PBE
State: relaxed

a b c (Å): 5.154 5.154 5.154
angles (deg): 60.00 60.00 60.00
Each line ends with the local moment (μB).
Sites, in units of the cell vectors:
Os1 0.375 0.375 0.875  -0.25
Os2 0.875 0.375 0.375  -0.25
Os3 0.375 0.375 0.375  -0.25
Os4 0.375 0.875 0.375  -0.25
Mn1 0.000 0.000 0.000  3.85
P1 0.750 0.750 0.750  0.04

The calculated volume is 96.8 Å³ per cell. As for the density of states at the Fermi level: 6.9 states/eV/cell. As for the theoretical density: 14.526 Mg/m³. For the total energy, the calculation gives -53.850 eV for the cell shown. The spin magnetization is 3.05 μB/f.u.


Entry 4:
Material: CeSm5Zn4
Method: DFT, GGA-PBE
State: relaxed

a b c (Å): 3.621 3.621 19.503
angles (deg): 90.00 90.00 90.00
Each line ends with the local moment (μB).
Sites, in units of the cell vectors:
Sm1 0.500 0.500 0.874  -0.01
Sm2 0.500 0.500 0.126  -0.01
Sm3 0.500 0.500 0.313  0.03
Sm4 0.500 0.500 0.687  0.03
Sm5 0.500 0.500 0.500  -0.03
Ce1 0.000 0.000 0.000  0.53
Zn1 0.000 0.000 0.594  0.00
Zn2 0.000 0.000 0.218  0.00
Zn3 0.000 0.000 0.406  0.00
Zn4 0.000 0.000 0.782  0.00

The calculated volume is 255.7 Å³ per cell. As for the density of states at the Fermi level: 13.9 states/eV/cell. As for the theoretical density: 7.492 Mg/m³. For the total energy, the calculation gives -36.966 eV for the cell shown. The spin magnetization is 0.66 μB/f.u.


Entry 5:
Material: CaThBr6
Method: DFT, GGA-PBE
State: relaxed

a b c (Å): 7.259 7.257 7.853
angles (deg): 62.43 62.44 59.96
Sites, in units of the cell vectors:
Br1 0.601 0.244 0.248
Br2 0.756 0.092 0.753
Br3 0.908 0.601 0.248
Br4 0.399 0.756 0.752
Br5 0.244 0.908 0.247
Br6 0.092 0.399 0.752
Ca1 0.500 0.500 0.500
Th1 0.000 0.000 0.000

The calculated volume is 302.7 Å³ per cell. As for the density of states at the Fermi level: 0.0 states/eV/cell. As for the theoretical density: 4.123 Mg/m³. For the total energy, the calculation gives -34.016 eV for the cell shown. The spin magnetization is 0.00 μB/f.u.


Entry 6:
Material: LiZn2InBr6
Method: DFT, GGA-PBE
State: relaxed

a b c (Å): 7.535 9.895 9.895
angles (deg): 89.88 76.26 76.26
Sites, in units of the cell vectors:
Zn1 0.194 0.382 0.232
Zn2 0.694 0.232 0.382
Zn3 0.306 0.768 0.618
Zn4 0.806 0.618 0.768
In1 0.750 0.121 0.879
In2 0.250 0.879 0.121
Li1 0.750 0.782 0.218
Li2 0.250 0.218 0.782
Br1 0.805 0.041 0.202
Br2 0.027 0.694 0.577
Br3 0.695 0.798 0.959
Br4 0.527 0.577 0.694
Br5 0.432 0.849 0.392
Br6 0.932 0.392 0.849
Br7 0.068 0.608 0.151
Br8 0.473 0.423 0.306
Br9 0.568 0.151 0.608
Br10 0.195 0.959 0.798
Br11 0.305 0.202 0.041
Br12 0.973 0.306 0.423

The calculated volume is 695.1 Å³ per cell. As for the density of states at the Fermi level: 0.0 states/eV/cell. As for the theoretical density: 3.498 Mg/m³. For the total energy, the calculation gives -53.230 eV for the cell shown. The spin magnetization is 0.00 μB/f.u.